No. 1
Compound: KRbAg2Br4
Source: Alexandria via LeMat-Bulk
Functional: PBE
Structure: optimized geometry

Calculated density, g/cm³: 3.8
DOS at the Fermi energy, states/eV/f.u.: 0.00
Energy, eV/cell: -22.7
SG: I222, No. 23

abc: 7.193 7.193 7.193
angles: 112.48 110.48 105.53
Atoms (fractional coordinates):
K1 0.000 0.000 0.000
Rb1 0.500 0.500 0.000
Ag1 0.179 0.679 0.500
Ag2 0.821 0.321 0.500
Br1 0.002 0.064 0.480
Br2 0.416 0.936 0.938
Br3 0.584 0.522 0.520
Br4 0.998 0.478 0.062


No. 2
Compound: KRbAgBr4
Source: Alexandria via LeMat-Bulk
Functional: PBE
Structure: optimized geometry

Calculated density, g/cm³: 3.7
DOS at the Fermi energy, states/eV/f.u.: 3.19
Energy, eV/cell: -38.4
SG: Cmcm, No. 63

abc: 9.314 9.314 7.671
angles: 90.00 90.00 131.62
Atoms (fractional coordinates):
K1 0.114 0.886 0.750
K2 0.886 0.114 0.250
Rb1 0.390 0.610 0.750
Rb2 0.610 0.390 0.250
Ag1 0.248 0.752 0.250
Ag2 0.752 0.248 0.750
Br1 0.000 0.500 0.000
Br2 0.000 0.500 0.500
Br3 0.085 0.915 0.250
Br4 0.410 0.590 0.250
Br5 0.500 0.000 0.000
Br6 0.500 0.000 0.500
Br7 0.590 0.410 0.750
Br8 0.915 0.085 0.750


No. 3
Compound: K2RbAgBr4
Source: Alexandria via LeMat-Bulk
Functional: PBE
Structure: optimized geometry

Calculated density, g/cm³: 3.3
DOS at the Fermi energy, states/eV/f.u.: 0.00
Energy, eV/cell: -47.7
SG: Cmcm, No. 63

abc: 8.164 8.164 16.380
angles: 90.00 90.00 146.94
Atoms (fractional coordinates):
K1 0.130 0.870 0.553
K2 0.130 0.870 0.947
K3 0.870 0.130 0.053
K4 0.870 0.130 0.447
Rb1 0.383 0.617 0.750
Rb2 0.617 0.383 0.250
Ag1 0.345 0.655 0.250
Ag2 0.655 0.345 0.750
Br1 0.059 0.941 0.750
Br2 0.232 0.768 0.125
Br3 0.232 0.768 0.375
Br4 0.500 0.500 0.000
Br5 0.500 0.500 0.500
Br6 0.768 0.232 0.625
Br7 0.768 0.232 0.875
Br8 0.941 0.059 0.250


No. 4
Compound: KRb2AgBr5
Source: Alexandria via LeMat-Bulk
Functional: PBE
Structure: optimized geometry

Calculated density, g/cm³: 3.5
DOS at the Fermi energy, states/eV/f.u.: 4.52
Energy, eV/cell: -50.4
SG: Cmc2_1, No. 36

abc: 9.989 9.989 14.540
angles: 90.00 90.00 152.26
Atoms (fractional coordinates):
K1 0.206 0.794 0.500
K2 0.794 0.206 0.000
Rb1 0.099 0.901 0.166
Rb2 0.143 0.857 0.783
Rb3 0.857 0.143 0.283
Rb4 0.901 0.099 0.666
Ag1 0.482 0.518 0.915
Ag2 0.518 0.482 0.415
Br1 0.038 0.962 0.508
Br2 0.272 0.728 0.151
Br3 0.352 0.648 0.856
Br4 0.386 0.614 0.467
Br5 0.480 0.520 0.236
Br6 0.520 0.480 0.736
Br7 0.614 0.386 0.967
Br8 0.648 0.352 0.356
Br9 0.728 0.272 0.651
Br10 0.962 0.038 0.008


No. 5
Compound: KRb2AgBr
Source: Alexandria via LeMat-Bulk
Functional: PBE
Structure: optimized geometry

Calculated density, g/cm³: 2.4
DOS at the Fermi energy, states/eV/f.u.: 3.09
Energy, eV/cell: -10.1
SG: P4/mmm, No. 123

abc: 6.612 6.612 6.270
angles: 90.00 90.00 90.00
Atoms (fractional coordinates):
K1 0.000 0.000 0.000
Rb1 0.000 0.500 0.500
Rb2 0.500 0.000 0.500
Ag1 0.500 0.500 0.000
Br1 0.000 0.000 0.500


No. 6
Compound: K2Rb3AgBr6
Source: Alexandria via LeMat-Bulk
Functional: PBE
Structure: optimized geometry

Calculated density, g/cm³: 3.3
DOS at the Fermi energy, states/eV/f.u.: 0.00
Energy, eV/cell: -35.7
SG: C2/m, No. 12

abc: 8.311 8.311 8.205
angles: 98.93 98.93 121.34
Atoms (fractional coordinates):
K1 0.171 0.829 0.000
K2 0.829 0.171 0.000
Rb1 0.000 0.000 0.500
Rb2 0.334 0.666 0.500
Rb3 0.666 0.334 0.500
Ag1 0.500 0.500 0.000
Br1 0.087 0.414 0.759
Br2 0.284 0.284 0.198
Br3 0.414 0.087 0.759
Br4 0.586 0.913 0.241
Br5 0.716 0.716 0.802
Br6 0.913 0.586 0.241


No. 7
Compound: KRb2AgBr6
Source: Alexandria via LeMat-Bulk
Functional: PBE
Structure: optimized geometry

Calculated density, g/cm³: 3.4
DOS at the Fermi energy, states/eV/f.u.: 10.72
Energy, eV/cell: -26.0
SG: Fm-3m, No. 225

abc: 8.170 8.170 8.170
angles: 60.00 60.00 60.00
Atoms (fractional coordinates):
K1 0.000 0.000 0.000
Rb1 0.250 0.250 0.250
Rb2 0.750 0.750 0.750
Ag1 0.500 0.500 0.500
Br1 0.269 0.269 0.731
Br2 0.269 0.731 0.269
Br3 0.269 0.731 0.731
Br4 0.731 0.269 0.269
Br5 0.731 0.269 0.731
Br6 0.731 0.731 0.269


No. 8
Compound: KReAgBr6
Source: Alexandria via LeMat-Bulk
Functional: PBE
Structure: optimized geometry

Calculated density, g/cm³: 4.3
Energy, eV/cell: -63.8
SG: P-31c, No. 163

abc: 7.218 7.218 13.906
angles: 90.00 90.00 120.00
Atoms (fractional coordinates):
K1 0.000 0.000 0.000
K2 0.000 0.000 0.500
Re1 0.333 0.667 0.250
Re2 0.667 0.333 0.750
Ag1 0.333 0.667 0.750
Ag2 0.667 0.333 0.250
Br1 0.038 0.390 0.144
Br2 0.038 0.648 0.356
Br3 0.352 0.390 0.356
Br4 0.352 0.962 0.144
Br5 0.390 0.038 0.644
Br6 0.390 0.352 0.856
Br7 0.610 0.648 0.144
Br8 0.610 0.962 0.356
Br9 0.648 0.038 0.856
Br10 0.648 0.610 0.644
Br11 0.962 0.352 0.644
Br12 0.962 0.610 0.856


What did the second record say?
Compound: KRbAgBr4
Source: Alexandria via LeMat-Bulk
Functional: PBE
Structure: optimized geometry

Calculated density, g/cm³: 3.7
DOS at the Fermi energy, states/eV/f.u.: 3.19
Energy, eV/cell: -38.4
SG: Cmcm, No. 63

abc: 9.314 9.314 7.671
angles: 90.00 90.00 131.62
Atoms (fractional coordinates):
K1 0.114 0.886 0.750
K2 0.886 0.114 0.250
Rb1 0.390 0.610 0.750
Rb2 0.610 0.390 0.250
Ag1 0.248 0.752 0.250
Ag2 0.752 0.248 0.750
Br1 0.000 0.500 0.000
Br2 0.000 0.500 0.500
Br3 0.085 0.915 0.250
Br4 0.410 0.590 0.250
Br5 0.500 0.000 0.000
Br6 0.500 0.000 0.500
Br7 0.590 0.410 0.750
Br8 0.915 0.085 0.750


- Among the records above, which one has the highest calculated density?
  KReAgBr6


- Which formula does entry 5 have?
  KRb2AgBr